Below is an optimized crystal structure of Hf2MnAgO, with properties calculated at the PBE+U level.

Cell: 4.7726 4.7726 4.7015 Å, 90.00 90.00 90.00°
Positions (direct):
Hf (0.0000, 0.5000, 0.0000)
Hf (0.5000, 0.0000, 0.0000)
Mn (0.0000, 0.0000, 0.0000)
Ag (0.0000, 0.0000, 0.5000)
O (0.5000, 0.5000, 0.5000)

Results
* DFT total energy: -28.80 eV per cell
* crystal system: tetragonal
* volume: 21.42 A^3/atom
* magnetization: 1.7 μB/cell
* mass density: 8.308 g cm⁻³